# KNdFeBiO6 GGA+U relaxed
data_KNdFeBiO6
_cell_length_a 5.774
_cell_length_b 5.774
_cell_length_c 5.774
_cell_angle_alpha 60.00
_cell_angle_beta 60.00
_cell_angle_gamma 60.00
_symmetry_space_group_name_H-M 'P 1'
_symmetry_Int_Tables_number 1
loop_
_symmetry_equiv_pos_as_xyz
'x,y,z'
loop_
_atom_site_label
_atom_site_type_symbol
_atom_site_fract_x
_atom_site_fract_y
_atom_site_fract_z
K1 K 0.750 0.750 0.750
Nd1 Nd 0.250 0.250 0.250
Fe1 Fe 0.500 0.500 0.500
Bi1 Bi 0.000 0.000 0.000
O1 O 0.256 0.744 0.256
O2 O 0.744 0.256 0.744
O3 O 0.256 0.744 0.744
O4 O 0.744 0.256 0.256
O5 O 0.256 0.256 0.744
O6 O 0.744 0.744 0.256
# final energy: -6.133 eV/atom
# N(E_F): 0.03 states/eV per cell